Entry 1:
First-principles (GGA-PBE) data for a relaxed Er2Hg5Bi crystal, as listed in the Alexandria database.

Summary:
space-group type	Pbam, No. 55
D(E_F)	7.47	states/eV per cell
energy of formation from the pure elements	-339	meV per atom

abc: 6.736 13.470 4.394
angles: 90.00 90.00 90.00
Fractional positions:
Er 0.232 0.120 0.000
Er 0.268 0.620 0.000
Er 0.732 0.380 0.000
Er 0.768 0.880 0.000
Hg 0.000 0.500 0.500
Hg 0.040 0.746 0.500
Hg 0.216 0.363 0.000
Hg 0.284 0.863 0.000
Hg 0.460 0.246 0.500
Hg 0.500 0.000 0.500
Hg 0.540 0.754 0.500
Hg 0.716 0.137 0.000
Hg 0.784 0.637 0.000
Hg 0.960 0.254 0.500
Bi 0.000 0.000 0.500
Bi 0.500 0.500 0.500

***

Entry 2:
First-principles (GGA-PBE) data for a relaxed CeZnF4 crystal, as listed in the Alexandria database.

Summary:
space-group type	I-4, No. 82
formation energy from raw total energies	-2.74	eV per atom
D(E_F)	9.79	states/eV per cell

abc: 4.955 4.955 4.955
angles: 107.38 107.38 113.74
Fractional positions:
Ce 0.000 0.000 0.000
Zn 0.250 0.750 0.500
F 0.073 0.520 0.987
F 0.480 0.467 0.553
F 0.533 0.085 0.013
F 0.915 0.927 0.447

***

Entry 3:
First-principles (GGA-PBE) data for a relaxed Pm3Tm2In2 crystal, as listed in the Alexandria database.

Summary:
space-group type	C2/m, No. 12
relative energy among the computed polymorphs	0	meV per atom
D(E_F)	6.92	states/eV per cell
energy of formation from the pure elements	-258	meV per atom

abc: 6.877 6.877 8.603
angles: 99.38 99.38 31.59
Fractional positions:
Pm 0.000 0.000 0.000
Pm 0.259 0.259 0.833
Pm 0.741 0.741 0.167
Tm 0.136 0.136 0.444
Tm 0.864 0.864 0.556
In 0.447 0.447 0.289
In 0.553 0.553 0.711

***

Entry 4:
First-principles (GGA-PBE) data for a relaxed Na3Tm3HfO8 crystal, as listed in the Alexandria database.

Summary:
space-group type	R-3m, No. 166
formation energy from raw total energies	-3.00	eV per atom
D(E_F)	0.00	states/eV per cell

abc: 6.783 6.783 6.783
angles: 58.90 58.90 58.90
Fractional positions:
Na 0.000 0.500 0.500
Na 0.500 0.000 0.500
Na 0.500 0.500 0.000
Tm 0.000 0.000 0.500
Tm 0.000 0.500 0.000
Tm 0.500 0.000 0.000
Hf 0.500 0.500 0.500
O 0.235 0.235 0.235
O 0.253 0.721 0.721
O 0.279 0.279 0.747
O 0.279 0.747 0.279
O 0.721 0.253 0.721
O 0.721 0.721 0.253
O 0.747 0.279 0.279
O 0.765 0.765 0.765

***

Entry 5:
First-principles (GGA-PBE) data for a relaxed Be2NiTe crystal, as listed in the Alexandria database.

Summary:
space-group type	I-4m2, No. 119
formation energy from raw total energies	0.41	eV per atom
D(E_F)	1.81	states/eV per cell

abc: 4.735 4.735 4.735
angles: 134.44 134.44 66.40
Fractional positions:
Be 0.000 0.000 0.000
Be 0.750 0.250 0.500
Ni 0.250 0.750 0.500
Te 0.500 0.500 0.000

***

Entry 6:
First-principles (GGA-PBE) data for a relaxed Cs2TaBe crystal, as listed in the Alexandria database.

Summary:
space-group type	Fm-3m, No. 225
D(E_F)	2.61	states/eV per cell
energy of formation from the pure elements	2113	meV per atom

abc: 5.829 5.829 5.829
angles: 60.00 60.00 60.00
Fractional positions:
Cs 0.250 0.250 0.250
Cs 0.750 0.750 0.750
Ta 0.000 0.000 0.000
Be 0.500 0.500 0.500

***

Entry 7:
First-principles (GGA-PBE) data for a relaxed CaTbHg crystal, as listed in the Alexandria database.

Summary:
space-group type	P3m1, No. 156
relative energy among the computed polymorphs	113	meV per atom
D(E_F)	2.73	states/eV per cell
energy of formation from the pure elements	-186	meV per atom

abc: 5.200 5.200 3.849
angles: 90.00 90.00 120.00
Fractional positions:
Ca 0.000 0.000 0.000
Tb 0.333 0.667 0.531
Hg 0.667 0.333 0.323

***

Entry 8:
First-principles (GGA-PBE) data for a relaxed PrHoIrBr crystal, as listed in the Alexandria database.

Summary:
space-group type	R3m, No. 160
formation energy from raw total energies	-1.07	eV per atom
D(E_F)	0.77	states/eV per cell

abc: 8.141 8.141 8.141
angles: 29.22 29.22 29.22
Fractional positions:
Pr 0.000 0.000 0.000
Ho 0.206 0.206 0.206
Ir 0.599 0.599 0.599
Br 0.773 0.773 0.773

***

Entry 9:
First-principles (GGA-PBE) data for a relaxed K4CeTe4 crystal, as listed in the Alexandria database.

Summary:
space-group type	I-42m, No. 121
formation energy from raw total energies	-1.00	eV per atom

abc: 9.332 9.332 9.332
angles: 126.40 126.40 79.23
Fractional positions:
K 0.000 0.500 0.500
K 0.201 0.201 0.000
K 0.500 0.000 0.500
K 0.799 0.799 0.000
Ce 0.500 0.500 0.000
Te 0.177 0.588 0.000
Te 0.412 0.412 0.589
Te 0.588 0.177 0.000
Te 0.823 0.823 0.411

***

Entry 10:
First-principles (GGA-PBE) data for a relaxed Dy5Tl3 crystal, as listed in the Alexandria database.

Summary:
space-group type	I4/mcm, No. 140
relative energy among the computed polymorphs	19	meV per atom
D(E_F)	15.51	states/eV per cell
energy of formation from the pure elements	-283	meV per atom

abc: 8.898 8.898 8.898
angles: 124.11 124.11 83.01
Fractional positions:
Dy 0.000 0.000 0.000
Dy 0.001 0.501 0.808
Dy 0.193 0.001 0.500
Dy 0.307 0.807 0.808
Dy 0.499 0.307 0.500
Dy 0.500 0.500 0.000
Dy 0.501 0.693 0.500
Dy 0.693 0.193 0.192
Dy 0.807 0.999 0.500
Dy 0.999 0.499 0.192
Tl 0.143 0.357 0.500
Tl 0.250 0.250 0.000
Tl 0.357 0.857 0.213
Tl 0.643 0.143 0.787
Tl 0.750 0.750 0.000
Tl 0.857 0.643 0.500

***

Entry 11:
First-principles (GGA-PBE) data for a relaxed Ir2Os2Ru3 crystal, as listed in the Alexandria database.

Summary:
space-group type	Cmmm, No. 65
relative energy among the computed polymorphs	0	meV per atom
D(E_F)	8.16	states/eV per cell
energy of formation from the pure elements	222	meV per atom

abc: 9.445 9.445 2.719
angles: 90.00 90.00 155.26
Fractional positions:
Ir 0.148 0.852 0.000
Ir 0.852 0.148 0.000
Os 0.289 0.711 0.500
Os 0.711 0.289 0.500
Ru 0.000 0.000 0.000
Ru 0.428 0.572 0.500
Ru 0.572 0.428 0.500

***

Entry 12:
First-principles (GGA-PBE) data for a relaxed MgHg2H2 crystal, as listed in the Alexandria database.

Summary:
space-group type	P4/mbm, No. 127
relative energy among the computed polymorphs	180	meV per atom
D(E_F)	3.22	states/eV per cell

abc: 7.387 7.387 3.755
angles: 90.00 90.00 90.00
Fractional positions:
Mg 0.000 0.000 0.000
Mg 0.500 0.500 0.000
Hg 0.148 0.352 0.000
Hg 0.352 0.852 0.000
Hg 0.648 0.148 0.000
Hg 0.852 0.648 0.000
H 0.148 0.352 0.500
H 0.352 0.852 0.500
H 0.648 0.148 0.500
H 0.852 0.648 0.500

***

In eV per atom, the VASP energy values for the records above are, in order, -2.15 -5.19 -4.35 -7.47 -3.68 -2.21 -2.50 -6.05 -3.54 -4.05 -9.49 -1.44.